# AlTlSe2, relaxed, DFT PBE
data_AlTlSe2
_space_group_name_H-M_alt 'P 1'
_space_group_IT_number 1
_space_group_name_Hall 'P 1'
_cell_length_a 6.025
_cell_length_b 6.025
_cell_length_c 2.998
_cell_angle_alpha 90.00
_cell_angle_beta 90.00
_cell_angle_gamma 117.06
loop_
_atom_site_label
_atom_site_fract_x
_atom_site_fract_y
_atom_site_fract_z
_atom_site_occupancy
Al1 0.000 0.000 0.000 1
Tl1 0.500 0.500 0.000 1
Se1 0.000 0.500 0.500 1
Se2 0.500 0.000 0.500 1
# Total DFT energy (no corrections) in eV for the cell shown: -12.37
# Crystal system: orthorhombic
# Space-group type: Cmmm (65)
# Total magnetic moment in Bohr magnetons per cell: 0.0